No. 1
PmLuCoPt: optimized geometry, GGA-PBE.

- formation energy (eV/atom) = -0.6148
- crystal system = cubic
- density (kg/m³) = 11743

Unit cell a=6.873 b=6.873 c=6.873 alpha=90.00 beta=90.00 gamma=90.00
Space group F-43m (No. 216)
Inequivalent atoms, fractional coordinates:
1 Pm 0.000 0.000 0.000 [4 per cell]
2 Lu 0.000 0.000 0.500 [4 per cell]
3 Co 0.250 0.250 0.250 [4 per cell]
4 Pt 0.250 0.250 0.750 [4 per cell]

No. 2
PmLuCoRu: optimized geometry, GGA-PBE.

- formation energy (eV/atom) = -0.1924
- crystal system = cubic
- density (kg/m³) = 10306

Unit cell a=6.763 b=6.763 c=6.763 alpha=90.00 beta=90.00 gamma=90.00
Space group F-43m (No. 216)
Inequivalent atoms, fractional coordinates:
1 Pm 0.000 0.000 0.000 [4 per cell]
2 Lu 0.000 0.000 0.500 [4 per cell]
3 Co 0.250 0.250 0.750 [4 per cell]
4 Ru 0.250 0.250 0.250 [4 per cell]

No. 3
PmLuZnCo: optimized geometry, GGA-PBE.

- formation energy (eV/atom) = -0.1996
- crystal system = cubic
- density (kg/m³) = 8930

Unit cell a=6.914 b=6.914 c=6.914 alpha=90.00 beta=90.00 gamma=90.00
Space group F-43m (No. 216)
Inequivalent atoms, fractional coordinates:
1 Pm 0.000 0.000 0.000 [4 per cell]
2 Lu 0.000 0.000 0.500 [4 per cell]
3 Zn 0.250 0.250 0.250 [4 per cell]
4 Co 0.250 0.250 0.750 [4 per cell]

No. 4
Pr2LuCo: optimized geometry, GGA-PBE.

- formation energy (eV/atom) = 0.1015
- crystal system = tetragonal
- energy relative to the lowest polymorph listed for this composition (meV/atom) = 0
- density (kg/m³) = 7778

Unit cell a=3.556 b=3.556 c=8.705 alpha=90.00 beta=90.00 gamma=90.00
Space group P4/mmm (No. 123)
Inequivalent atoms, fractional coordinates:
1 Pr 0.000 0.000 0.198 [2 per cell]
2 Lu 0.500 0.500 0.500 [1 per cell]
3 Co 0.500 0.500 0.000 [1 per cell]

No. 5
Pr2LuCo: optimized geometry, GGA-PBE.

- formation energy (eV/atom) = 0.2740
- crystal system = trigonal
- energy relative to the lowest polymorph listed for this composition (meV/atom) = 172
- density (kg/m³) = 7084

Unit cell a=3.6490 b=3.6490 c=31.4507 alpha=90.00 beta=90.00 gamma=120.00
Space group R-3m (No. 166, hexagonal axes)
Inequivalent atoms, fractional coordinates:
1 Pr 0.0000 0.0000 0.1108 [6 per cell]
2 Lu 0.0000 0.0000 0.0000 [3 per cell]
3 Co 0.0000 0.0000 0.5000 [3 per cell]

No. 6
Pr3LuCo: optimized geometry, GGA-PBE.

- formation energy (eV/atom) = 0.1369
- crystal system = cubic
- density (kg/m³) = 6753

Unit cell a=5.445 b=5.445 c=5.445 alpha=90.00 beta=90.00 gamma=90.00
Space group Pm-3m (No. 221)
Inequivalent atoms, fractional coordinates:
1 Pr 0.000 0.000 0.500 [3 per cell]
2 Lu 0.500 0.500 0.500 [1 per cell]
3 Co 0.000 0.000 0.000 [1 per cell]

No. 7
PrLuZnCo: optimized geometry, GGA-PBE.

- formation energy (eV/atom) = -0.1620
- crystal system = cubic
- density (kg/m³) = 8616

Unit cell a=6.975 b=6.975 c=6.975 alpha=90.00 beta=90.00 gamma=90.00
Space group F-43m (No. 216)
Inequivalent atoms, fractional coordinates:
1 Pr 0.000 0.000 0.000 [4 per cell]
2 Lu 0.000 0.000 0.500 [4 per cell]
3 Zn 0.250 0.250 0.750 [4 per cell]
4 Co 0.250 0.250 0.250 [4 per cell]

No. 8
LuScCoPt: optimized geometry, GGA-PBE.

- formation energy (eV/atom) = -0.7743
- crystal system = cubic
- density (kg/m³) = 11105

Unit cell a=6.569 b=6.569 c=6.569 alpha=90.00 beta=90.00 gamma=90.00
Space group F-43m (No. 216)
Inequivalent atoms, fractional coordinates:
1 Lu 0.000 0.000 0.000 [4 per cell]
2 Sc 0.000 0.000 0.500 [4 per cell]
3 Co 0.250 0.250 0.750 [4 per cell]
4 Pt 0.250 0.250 0.250 [4 per cell]

> Among the records above, which one has the highest formation energy?

number 5